The following is a PBE calculation of a relaxed structure of AcPuAsS, from Alexandria.

Structure (CIF):
```
data_AcPuAsS
_cell_length_a 4.1894
_cell_length_b 4.1894
_cell_length_c 22.2491
_cell_angle_alpha 90.00
_cell_angle_beta 90.00
_cell_angle_gamma 120.00
_symmetry_space_group_name_H-M 'R 3 m'
_symmetry_Int_Tables_number 160
_symmetry_space_group_name_Hall 'R 3 -2"'
loop_
_atom_site_label
_atom_site_type_symbol
_atom_site_fract_x
_atom_site_fract_y
_atom_site_fract_z
Ac1 Ac 0.0000 0.0000 0.0000
Pu1 Pu 0.0000 0.0000 0.8296
As1 As 0.0000 0.0000 0.4193
S1 S 0.0000 0.0000 0.5780
```

VASP energy: -8.196 eV/atom
Energy above the lowest structure with this stoichiometry: 0.000 eV per atom
Crystal system: trigonal
Raw formation energy: -1.39 eV per atom


The following is a PBE calculation of a relaxed structure of AcPuSbAs, from Alexandria.

Structure (CIF):
```
data_AcPuSbAs
_cell_length_a 7.708
_cell_length_b 7.708
_cell_length_c 7.708
_cell_angle_alpha 90.00
_cell_angle_beta 90.00
_cell_angle_gamma 90.00
_symmetry_space_group_name_H-M 'F -4 3 m'
_symmetry_Int_Tables_number 216
_symmetry_space_group_name_Hall 'F -4 2 3'
loop_
_atom_site_label
_atom_site_type_symbol
_atom_site_fract_x
_atom_site_fract_y
_atom_site_fract_z
Ac1 Ac 0.000 0.000 0.000
Pu1 Pu 0.000 0.000 0.500
Sb1 Sb 0.250 0.250 0.750
As1 As 0.250 0.250 0.250
```

VASP energy: -7.555 eV/atom
Crystal system: cubic
Raw formation energy: -0.75 eV per atom


The following is a PBE calculation of a relaxed structure of Ac2PuAs2Se2, from Alexandria.

Structure (CIF):
```
data_Ac2PuAs2Se2
_cell_length_a 5.321
_cell_length_b 5.321
_cell_length_c 15.765
_cell_angle_alpha 90.00
_cell_angle_beta 90.00
_cell_angle_gamma 90.00
_symmetry_space_group_name_H-M 'I 4/m m m'
_symmetry_Int_Tables_number 139
_symmetry_space_group_name_Hall '-I 4 2'
loop_
_atom_site_label
_atom_site_type_symbol
_atom_site_fract_x
_atom_site_fract_y
_atom_site_fract_z
Ac1 Ac 0.000 0.000 0.129
Pu1 Pu 0.000 0.000 0.500
As1 As 0.000 0.500 0.000
Se1 Se 0.000 0.000 0.320
```

VASP energy: -6.821 eV/atom
Crystal system: tetragonal
Raw formation energy: -1.28 eV per atom


The following is a PBE calculation of a relaxed structure of AcPuAsSe, from Alexandria.

Structure (CIF):
```
data_AcPuAsSe
_cell_length_a 4.2677
_cell_length_b 4.2677
_cell_length_c 22.6610
_cell_angle_alpha 90.00
_cell_angle_beta 90.00
_cell_angle_gamma 120.00
_symmetry_space_group_name_H-M 'R 3 m'
_symmetry_Int_Tables_number 160
_symmetry_space_group_name_Hall 'R 3 -2"'
loop_
_atom_site_label
_atom_site_type_symbol
_atom_site_fract_x
_atom_site_fract_y
_atom_site_fract_z
Ac1 Ac 0.0000 0.0000 0.0000
Pu1 Pu 0.0000 0.0000 0.8233
As1 As 0.0000 0.0000 0.4159
Se1 Se 0.0000 0.0000 0.5748
```

VASP energy: -8.004 eV/atom
Energy above the lowest structure with this stoichiometry: 0.000 eV per atom
Crystal system: trigonal
Raw formation energy: -1.36 eV per atom